No. 1
The following is a PBE-GGA calculation of an optimized crystal structure of Cs2ZrGa2O6, from the Alexandria database.

Formation energy without anion corrections (eV per atom): -2.09
Symmetry: No. 12
Electronic total energy (Ry per atom): -0.46121

Cell lengths 6.0448, 6.0453, 7.3735 Å; angles 113.81, 90.00, 120.00 degrees
With the nearest neighbours (Å) after each atom.
Atoms (fractional coordinates):
Cs 0.7069 0.4137 0.1228  9 O 3.24-3.29
Cs 0.2931 0.5863 0.8772  9 O 3.24-3.29
Zr 0.5000 0.0000 0.5000  6 O 2.13
Ga 0.8954 0.7909 0.6819  3 O 1.79
Ga 0.1046 0.2091 0.3181  3 O 1.79
O 0.7280 0.4560 0.6913  1 Ga 1.79
O 0.2689 0.0269 0.3007  1 Ga 1.79
O 0.2420 0.9731 0.6993  1 Ga 1.79
O 0.7311 0.9731 0.6993  1 Ga 1.79
O 0.7580 0.0269 0.3007  1 Ga 1.79
O 0.2720 0.5440 0.3087  1 Ga 1.79

=====

No. 2
The following is a PBE-GGA calculation of an optimized crystal structure of Cs3GaOs, from the Alexandria database.

Symmetry: No. 221
E_form (eV/f.u.): 6.4
Electronic total energy (Ry per atom): -0.15333

Cell lengths 6.1366, 6.1366, 6.1366 Å; angles 90.00, 90.00, 90.00 degrees
With the nearest neighbours (Å) after each atom.
Atoms (fractional coordinates):
Cs 0.0000 0.5000 0.0000  2 Os 3.07
Cs 0.0000 0.0000 0.5000  2 Os 3.07
Cs 0.5000 0.0000 0.0000  2 Os 3.07
Os 0.0000 0.0000 0.0000  6 Cs 3.07
Ga 0.5000 0.5000 0.5000  12 Cs 4.34